# NaWO2 (GGA+U, relaxed)
data_NaWO2
_chemical_formula_sum 'Na4 W4 O8'
_cell_length_a 4.687
_cell_length_b 4.687
_cell_length_c 11.810
_cell_angle_alpha 90.00
_cell_angle_beta 90.00
_cell_angle_gamma 90.00
_symmetry_space_group_name_H-M 'I -4 2 d'
_symmetry_Int_Tables_number 122
_symmetry_space_group_name_Hall 'I -4 2bw'
loop_
_atom_site_label
_atom_site_fract_x
_atom_site_fract_y
_atom_site_fract_z
Na1 0.000 0.000 0.000
W1 0.000 0.000 0.500
O1 0.181 0.250 0.625
# size of the total moment = 3.0 μB per formula unit
# E_tot = -5.849 eV per atom
# polymorph energy (0 for the lowest one) = 0.55 eV/f.u.
# calculated volume = 16.21 Å³ per atom
# theoretical density = 6.1 g/cm³